La2SmTc PBE-GGA optimized geometry; SG = P4/mmm; energy above the lowest structure with this stoichiometry = 0.157 eV/atom; ΔE_f = 0.134 eV per atom
1.0
3.569 0.000 0.000
0.000 3.569 0.000
0.000 0.000 9.151
La Sm Tc
2 1 1
direct
0.000 0.000 0.192
0.000 0.000 0.808
0.500 0.500 0.500
0.500 0.500 0.000



LiZn4Au PBE-GGA optimized geometry; SG = C2/m; energy above the lowest structure with this stoichiometry = 0.017 eV/atom; ΔE_f = -0.199 eV per atom
1.0
4.419 0.000 0.000
0.000 7.639 0.000
-0.001 0.000 5.384
Li Zn Au
2 8 2
direct
0.000 0.000 0.000
0.500 0.500 0.000
0.002 0.333 0.753
0.002 0.667 0.753
0.498 0.167 0.247
0.498 0.833 0.247
0.502 0.167 0.753
0.502 0.833 0.753
0.998 0.333 0.247
0.998 0.667 0.247
0.000 0.000 0.500
0.500 0.500 0.500



Ca6TlPd2 PBE-GGA optimized geometry; SG = Immm; ΔE_f = -0.473 eV per atom
1.0
-4.865 4.948 5.540
4.865 -4.948 5.540
4.865 4.948 -5.540
Ca Tl Pd
12 2 4
direct
0.041 0.239 0.802
0.181 0.290 0.471
0.181 0.710 0.891
0.332 0.024 0.692
0.332 0.640 0.308
0.437 0.239 0.198
0.563 0.761 0.802
0.668 0.360 0.692
0.668 0.976 0.308
0.819 0.290 0.109
0.819 0.710 0.529
0.959 0.761 0.198
0.000 0.000 0.000
0.500 0.500 0.000
0.128 0.628 0.500
0.344 0.000 0.344
0.656 0.000 0.656
0.872 0.372 0.500



Dy2MnGa12 PBE-GGA optimized geometry; SG = P4/nbm; ΔE_f = -0.284 eV per atom
1.0
5.951 0.000 0.000
0.000 5.951 0.000
0.000 0.000 15.884
Dy Mn Ga
4 2 24
direct
0.250 0.750 0.247
0.250 0.750 0.753
0.750 0.250 0.247
0.750 0.250 0.753
0.250 0.750 0.000
0.750 0.250 0.000
0.000 0.000 0.091
0.000 0.000 0.909
0.000 0.500 0.091
0.000 0.500 0.909
0.083 0.583 0.432
0.083 0.917 0.568
0.250 0.250 0.194
0.250 0.250 0.346
0.250 0.250 0.654
0.250 0.250 0.806
0.417 0.583 0.568
0.417 0.917 0.432
0.500 0.000 0.091
0.500 0.000 0.909
0.500 0.500 0.091
0.500 0.500 0.909
0.583 0.083 0.568
0.583 0.417 0.432
0.750 0.750 0.194
0.750 0.750 0.346
0.750 0.750 0.654
0.750 0.750 0.806
0.917 0.083 0.432
0.917 0.417 0.568



RbIrRu PBE-GGA optimized geometry; SG = P6_3/mmc; energy above the lowest structure with this stoichiometry = 1.279 eV/atom; ΔE_f = 1.779 eV per atom
1.0
5.918 0.000 0.000
-2.959 5.125 0.000
0.000 0.000 9.125
Rb Ir Ru
2 2 2
direct
0.333 0.667 0.250
0.667 0.333 0.750
0.000 0.000 0.000
0.000 0.000 0.500
0.000 0.000 0.250
0.000 0.000 0.750



CaSb2Br PBE-GGA optimized geometry; SG = Cmmm; energy above the lowest structure with this stoichiometry = 0.430 eV/atom; formation energy from raw total energies = -0.407 eV per atom
1.0
5.761 0.000 0.000
0.000 12.155 0.000
0.000 0.000 3.494
Ca Sb Br
2 4 2
direct
0.000 0.000 0.000
0.500 0.500 0.000
0.250 0.250 0.500
0.250 0.750 0.500
0.750 0.250 0.500
0.750 0.750 0.500
0.000 0.500 0.000
0.500 0.000 0.000



CaAlSb3 PBE-GGA optimized geometry; SG = Pm-3m; energy above the lowest structure with this stoichiometry = 0.641 eV/atom; formation energy from raw total energies = 0.700 eV per atom
1.0
5.713 0.000 0.000
0.000 5.713 0.000
0.000 0.000 5.713
Ca Al Sb
1 1 3
direct
0.000 0.000 0.000
0.500 0.500 0.500
0.000 0.000 0.500
0.000 0.500 0.000
0.500 0.000 0.000



CaLa2Al PBE-GGA optimized geometry; SG = I-4m2; ΔE_f = -0.058 eV per atom
1.0
4.905 0.000 0.000
0.000 4.905 0.000
0.000 0.000 10.362
Ca La Al
2 4 2
direct
0.000 0.000 0.000
0.500 0.500 0.500
0.000 0.000 0.500
0.000 0.500 0.750
0.500 0.000 0.250
0.500 0.500 0.000
0.000 0.500 0.250
0.500 0.000 0.750



Sr3Ca2 PBE-GGA optimized geometry; SG = R-3m; energy above the lowest structure with this stoichiometry = 0.000 eV/atom; ΔE_f = 0.032 eV per atom
1.0
4.129 0.000 0.000
-2.065 3.576 0.000
0.000 0.000 50.195
Sr Ca
9 6
direct
0.000 0.000 0.000
0.000 0.000 0.202
0.000 0.000 0.798
0.333 0.667 0.465
0.333 0.667 0.667
0.333 0.667 0.869
0.667 0.333 0.131
0.667 0.333 0.333
0.667 0.333 0.535
0.000 0.000 0.399
0.000 0.000 0.601
0.333 0.667 0.066
0.333 0.667 0.267
0.667 0.333 0.733
0.667 0.333 0.934



K2SrRu PBE-GGA optimized geometry; SG = C2/m; energy above the lowest structure with this stoichiometry = 0.000 eV/atom; ΔE_f = 0.640 eV per atom
1.0
20.409 0.000 0.000
0.000 3.563 0.000
-1.161 0.000 4.739
K Sr Ru
4 2 2
direct
0.154 0.000 0.153
0.346 0.500 0.847
0.654 0.500 0.153
0.846 0.000 0.847
0.000 0.000 0.500
0.500 0.500 0.500
0.000 0.500 0.000
0.500 0.000 0.000



BaSr2As PBE-GGA optimized geometry; SG = P4/mmm; ΔE_f = -0.341 eV per atom
1.0
5.252 0.000 0.000
0.000 5.252 0.000
0.000 0.000 5.383
Ba Sr As
1 2 1
direct
0.000 0.000 0.000
0.000 0.500 0.500
0.500 0.000 0.500
0.500 0.500 0.000



Sc4SiW PBE-GGA optimized geometry; SG = F-43m; formation energy from raw total energies = 0.600 eV per atom
1.0
0.000 3.894 3.894
3.894 0.000 3.894
3.894 3.894 0.000
Sc Si W
4 1 1
direct
0.377 0.377 0.377
0.377 0.377 0.869
0.377 0.869 0.377
0.869 0.377 0.377
0.000 0.000 0.000
0.750 0.750 0.750



| no. | E_tot (eV/cell) | magnetization (μB/f.u.) |
| --- | --- | --- |
| 1 | -24.405 | 0.00 |
| 2 | -22.963 | 0.00 |
| 3 | -58.046 | 0.00 |
| 4 | -117.927 | 2.27 |
| 5 | -27.535 | 1.26 |
| 6 | -27.091 | 0.00 |
| 7 | -14.610 | 0.00 |
| 8 | -31.663 | 0.00 |
| 9 | -26.666 | 0.02 |
| 10 | -21.184 | 0.82 |
| 11 | -11.299 | 0.00 |
| 12 | -40.103 | 0.00 |